[1]
The following is a DFT calculation (PBE) of a geometry-optimized ScZnGe structure.

crystal system = trigonal
ρ = 5712 kg/m³
ΔE_f = -0.4873 eV per atom
total moment = 0.0 μB per cell

Lattice parameters (Å, degrees): 4.1958 4.1958 3.4892 90.00 90.00 120.00
Space group P3m1 (No. 156)
Unique sites:
Sc (0.0000, 0.0000, 0.0000) [1 per cell]
Zn (0.3333, 0.6667, 0.5122) [1 per cell]
Ge (0.6667, 0.3333, 0.4846) [1 per cell]

***

[2]
The following is a DFT calculation (PBE) of a geometry-optimized LaPmNdGa structure.

crystal system = cubic
ρ = 6961 kg/m³
ΔE_f = -0.0848 eV per atom
total moment = 3.5 μB per cell

Lattice parameters (Å, degrees): 7.803 7.803 7.803 90.00 90.00 90.00
Space group F-43m (No. 216)
Unique sites:
La (0.000, 0.000, 0.000) [4 per cell]
Pm (0.250, 0.250, 0.250) [4 per cell]
Nd (0.000, 0.000, 0.500) [4 per cell]
Ga (0.250, 0.250, 0.750) [4 per cell]

***

[3]
The following is a DFT calculation (PBE) of a geometry-optimized Pm5Hg2Pb structure.

crystal system = tetragonal
ρ = 9064 kg/m³
ΔE_f = -0.4052 eV per atom
total moment = 0.0 μB per cell

Lattice parameters (Å, degrees): 8.568 8.568 13.311 90.00 90.00 90.00
Space group I4/mcm (No. 140)
Unique sites:
Pm (0.000, 0.000, 0.000) [4 per cell]
Pm (0.154, 0.346, 0.148) [16 per cell]
Hg (0.139, 0.361, 0.500) [8 per cell]
Pb (0.000, 0.000, 0.250) [4 per cell]

***

[4]
The following is a DFT calculation (PBE) of a geometry-optimized KCoTc2Ag structure.

crystal system = tetragonal
ρ = 5194 kg/m³
ΔE_f = 2.0114 eV per atom
total moment = 8.9 μB per cell

Lattice parameters (Å, degrees): 5.154 5.154 4.837 90.00 90.00 90.00
Space group P4/mmm (No. 123)
Unique sites:
K (0.000, 0.000, 0.000) [1 per cell]
Co (0.500, 0.500, 0.000) [1 per cell]
Tc (0.000, 0.500, 0.500) [2 per cell]
Ag (0.500, 0.500, 0.500) [1 per cell]

***

[5]
The following is a DFT calculation (PBE) of a geometry-optimized SmInGa2Br6 structure.

crystal system = triclinic
ρ = 3903 kg/m³
total moment = 0.0 μB per cell
E_form (uncorrected) = -1.096 eV per atom

Lattice parameters (Å, degrees): 7.854 7.863 8.364 62.02 62.00 60.04
Space group P1 (No. 1)
Unique sites:
Sm (0.000, 0.000, 0.000) [1 per cell]
In (0.490, 0.490, 0.530) [1 per cell]
Ga (0.193, 0.191, 0.423) [1 per cell]
Ga (0.686, 0.685, 0.944) [1 per cell]
Br (0.071, 0.381, 0.734) [1 per cell]
Br (0.254, 0.904, 0.210) [1 per cell]
Br (0.381, 0.814, 0.733) [1 per cell]
Br (0.633, 0.253, 0.210) [1 per cell]
Br (0.814, 0.071, 0.734) [1 per cell]
Br (0.904, 0.633, 0.210) [1 per cell]

***

[6]
The following is a DFT calculation (PBE) of a geometry-optimized KIn3Bi2 structure.

energy relative to the lowest polymorph listed for this composition = 0.057 eV per atom
crystal system = hexagonal
ρ = 6571 kg/m³
ΔE_f = -0.0343 eV per atom
total moment = 0.0 μB per cell

Lattice parameters (Å, degrees): 6.4414 6.4414 5.6370 90.00 90.00 120.00
Space group P6/mmm (No. 191)
Unique sites:
K (0.0000, 0.0000, 0.0000) [1 per cell]
In (0.0000, 0.5000, 0.5000) [3 per cell]
Bi (0.3333, 0.6667, 0.0000) [2 per cell]

***

Repeat the second record exactly.
The following is a DFT calculation (PBE) of a geometry-optimized LaPmNdGa structure.

crystal system = cubic
ρ = 6961 kg/m³
ΔE_f = -0.0848 eV per atom
total moment = 3.5 μB per cell

Lattice parameters (Å, degrees): 7.803 7.803 7.803 90.00 90.00 90.00
Space group F-43m (No. 216)
Unique sites:
La (0.000, 0.000, 0.000) [4 per cell]
Pm (0.250, 0.250, 0.250) [4 per cell]
Nd (0.000, 0.000, 0.500) [4 per cell]
Ga (0.250, 0.250, 0.750) [4 per cell]

***

Q: total moment of number 6 (KIn3Bi2)?
A: 0.0 μB per cell

***

Q: The lowest ρ belongs to which entry?
A: SmInGa2Br6